Here is MnV4CrO12 after structural relaxation from Alexandria via LeMat-Bulk. Energies are from PBE with a Hubbard U.

N(E_F)	0.0	states/eV/f.u.
VASP energy	-7.6444	eV per atom
total moment	9.00	μB/cell
density	3.2	Mg/m³

a b c (Å): 6.8545 6.8545 5.9460
angles (deg): 104.95 104.95 84.37
Last column: nearest neighbours and their distance in Å.
Fractional coordinates of all 18 atoms:
Mn 0.0000 0.0000 0.0000  6 O 2.10-2.28
V 0.2957 0.3036 0.5082  4 O 1.69-1.79
V 0.4733 0.1232 0.0042  4 O 1.68-1.81
V 0.6964 0.7043 0.4918  4 O 1.69-1.79
V 0.8768 0.5267 0.9958  4 O 1.68-1.81
Cr 0.1711 0.8289 0.5000  6 O 2.05-2.16
O 0.0007 0.3012 0.9814  1 V 1.68
O 0.0462 0.7197 0.1189  1 V 1.73
O 0.1288 0.1068 0.4040  1 V 1.74
O 0.1809 0.5357 0.5279  1 V 1.69
O 0.2803 0.9538 0.8811  1 V 1.73
O 0.4392 0.2854 0.7990  2 V 1.78-1.81
O 0.4530 0.2630 0.3012  2 V 1.79-1.81
O 0.4643 0.8191 0.4721  1 V 1.69
O 0.6988 0.9993 0.0186  1 V 1.68
O 0.7146 0.5608 0.2010  2 V 1.78-1.81
O 0.7370 0.5470 0.6988  2 V 1.79-1.81
O 0.8932 0.8712 0.5960  1 V 1.74